{"formula": "W2C", "functional": "PBEsol", "state": "relaxed", "rho_g_cm3": 16.88, "delta_e_f_mev_per_atom": 792, "spacegroup": "I4_1/amd", "e_tot_ev_per_atom": -11.63, "lattice_angstrom": [[2.7300, 0.0000, 0.0000], [0.0000, 2.7300, 0.0000], [-1.3650, -1.3650, 10.0242]], "species": ["C", "C", "W", "W", "W", "W"], "fractional_positions": [[0.0000, 0.0000, 0.0000], [0.2500, 0.7500, 0.5000], [0.5646, 0.5646, 0.1291], [0.4354, 0.4354, 0.8709], [0.6854, 0.1854, 0.3709], [0.8146, 0.3146, 0.6291]]}